Material: ScBe3Ag
Method: DFT, meta-GGA SCAN
State: PBEsol geometry

Its density of states at the Fermi level is 0.763 states/eV/atom. As for the crystal system: cubic. Its raw total energy is -9.88 eV per atom. The formation energy is 1.8557 eV/atom. The space group is Pm-3m.

Structure (CIF):
```
data_ScBe3Ag
_cell_length_a 4.656
_cell_length_b 4.656
_cell_length_c 4.656
_cell_angle_alpha 90.00
_cell_angle_beta 90.00
_cell_angle_gamma 90.00
_space_group_name_H-M_alt 'P 1'
_space_group_IT_number 1
loop_
_space_group_symop_operation_xyz
'x,y,z'
loop_
_atom_site_label
_atom_site_type_symbol
_atom_site_fract_x
_atom_site_fract_y
_atom_site_fract_z
Be1 Be 0.500 0.000 0.000
Be2 Be 0.000 0.000 0.500
Be3 Be 0.000 0.500 0.000
Sc1 Sc 0.000 0.000 0.000
Ag1 Ag 0.500 0.500 0.500
```

Material: SrLa2Cl
Method: DFT, meta-GGA SCAN
State: PBEsol geometry

Its density of states at the Fermi level is 1.220 states/eV/atom. The formation energy from raw total energies comes out at -0.587 eV/atom. As for the crystal system: tetragonal. Its raw total energy is -29.70 eV per atom. The offset from the most stable computed form comes out at 0.164 eV/atom. The space group is P4/mmm.

Structure (CIF):
```
data_SrLa2Cl
_cell_length_a 3.560
_cell_length_b 3.560
_cell_length_c 10.199
_cell_angle_alpha 90.00
_cell_angle_beta 90.00
_cell_angle_gamma 90.00
_space_group_name_H-M_alt 'P 1'
_space_group_IT_number 1
loop_
_space_group_symop_operation_xyz
'x,y,z'
loop_
_atom_site_label
_atom_site_type_symbol
_atom_site_fract_x
_atom_site_fract_y
_atom_site_fract_z
La1 La 0.000 0.000 0.679
Cl1 Cl 0.500 0.500 0.500
La2 La 0.000 0.000 0.321
Sr1 Sr 0.500 0.500 0.000
```

Material: GeSeIO2
Method: DFT, meta-GGA SCAN
State: PBEsol geometry

Its density of states at the Fermi level is 0.412 states/eV/atom. The formation energy from raw total energies comes out at 0.273 eV/atom. As for the crystal system: tetragonal. Its raw total energy is -17.40 eV per atom. The space group is P4/mmm.

Structure (CIF):
```
data_GeSeIO2
_cell_length_a 3.993
_cell_length_b 3.993
_cell_length_c 5.732
_cell_angle_alpha 90.00
_cell_angle_beta 90.00
_cell_angle_gamma 90.00
_space_group_name_H-M_alt 'P 1'
_space_group_IT_number 1
loop_
_space_group_symop_operation_xyz
'x,y,z'
loop_
_atom_site_label
_atom_site_type_symbol
_atom_site_fract_x
_atom_site_fract_y
_atom_site_fract_z
Se1 Se 0.000 0.000 0.000
Ge1 Ge 0.500 0.500 0.500
O1 O 0.500 0.000 0.000
I1 I 0.000 0.000 0.500
O2 O 0.000 0.500 0.000
```

Material: RbReNF2
Method: DFT, meta-GGA SCAN
State: PBEsol geometry

Its density of states at the Fermi level is 0.324 states/eV/atom. The formation energy from raw total energies comes out at 1.095 eV/atom. As for the crystal system: tetragonal. Its raw total energy is -20.55 eV per atom. The space group is P4/mmm.

Structure (CIF):
```
data_RbReNF2
_cell_length_a 5.065
_cell_length_b 4.840
_cell_length_c 4.840
_cell_angle_alpha 90.00
_cell_angle_beta 90.00
_cell_angle_gamma 90.00
_space_group_name_H-M_alt 'P 1'
_space_group_IT_number 1
loop_
_space_group_symop_operation_xyz
'x,y,z'
loop_
_atom_site_label
_atom_site_type_symbol
_atom_site_fract_x
_atom_site_fract_y
_atom_site_fract_z
N1 N 0.500 0.000 0.000
F1 F 0.000 0.000 0.500
F2 F 0.000 0.500 0.000
Rb1 Rb 0.000 0.000 0.000
Re1 Re 0.500 0.500 0.500
```

Material: Tl2Cd2Ga
Method: DFT, meta-GGA SCAN
State: PBEsol geometry

Its density of states at the Fermi level is 0.413 states/eV/atom. As for the crystal system: tetragonal. Its raw total energy is -44.26 eV per atom. The formation energy is 0.1197 eV/atom. The space group is P4/mbm.

Structure (CIF):
```
data_Tl2Cd2Ga
_cell_length_a 5.017
_cell_length_b 7.047
_cell_length_c 7.047
_cell_angle_alpha 90.00
_cell_angle_beta 90.00
_cell_angle_gamma 90.00
_space_group_name_H-M_alt 'P 1'
_space_group_IT_number 1
loop_
_space_group_symop_operation_xyz
'x,y,z'
loop_
_atom_site_label
_atom_site_type_symbol
_atom_site_fract_x
_atom_site_fract_y
_atom_site_fract_z
Cd1 Cd 0.000 0.858 0.642
Tl1 Tl 0.500 0.673 0.827
Cd2 Cd 0.000 0.642 0.142
Ga1 Ga 0.000 0.000 0.000
Tl2 Tl 0.500 0.327 0.173
Tl3 Tl 0.500 0.827 0.327
Ga2 Ga 0.000 0.500 0.500
Tl4 Tl 0.500 0.173 0.673
Cd3 Cd 0.000 0.142 0.358
Cd4 Cd 0.000 0.358 0.858
```

Material: ZrSnRh
Method: DFT, meta-GGA SCAN
State: PBEsol geometry

Its density of states at the Fermi level is 0.338 states/eV/atom. As for the crystal system: hexagonal. Its raw total energy is -34.39 eV per atom. The formation energy is -0.9272 eV/atom. The space group is P-62c.

Structure (CIF):
```
data_ZrSnRh
_cell_length_a 7.182
_cell_length_b 7.312
_cell_length_c 7.312
_cell_angle_alpha 120.00
_cell_angle_beta 90.00
_cell_angle_gamma 90.00
_space_group_name_H-M_alt 'P 1'
_space_group_IT_number 1
loop_
_space_group_symop_operation_xyz
'x,y,z'
loop_
_atom_site_label
_atom_site_type_symbol
_atom_site_fract_x
_atom_site_fract_y
_atom_site_fract_z
Zr1 Zr 0.250 0.612 0.018
Zr2 Zr 0.750 0.018 0.612
Rh1 Rh 0.464 0.333 0.667
Zr3 Zr 0.250 0.982 0.593
Sn1 Sn 0.000 0.000 0.270
Sn2 Sn 0.500 0.730 0.730
Sn3 Sn 0.500 0.270 0.000
Rh2 Rh 0.036 0.333 0.667
Rh3 Rh 0.964 0.667 0.333
Sn4 Sn 0.500 0.000 0.270
Rh4 Rh 0.536 0.667 0.333
Sn5 Sn 0.000 0.270 0.000
Zr4 Zr 0.750 0.388 0.407
Zr5 Zr 0.250 0.407 0.388
Rh5 Rh 0.750 0.000 0.000
Zr6 Zr 0.750 0.593 0.982
Sn6 Sn 0.000 0.730 0.730
Rh6 Rh 0.250 0.000 0.000
```

Material: Sr2NiW
Method: DFT, meta-GGA SCAN
State: PBEsol geometry

Its density of states at the Fermi level is 0.970 states/eV/atom. As for the crystal system: cubic. Its raw total energy is -31.28 eV per atom. The offset from the most stable computed form comes out at 0.621 eV/atom. The formation energy is 1.3237 eV/atom. The space group is F-43m.

Structure (CIF):
```
data_Sr2NiW
_cell_length_a 5.024
_cell_length_b 5.024
_cell_length_c 5.024
_cell_angle_alpha 60.00
_cell_angle_beta 60.00
_cell_angle_gamma 60.00
_space_group_name_H-M_alt 'P 1'
_space_group_IT_number 1
loop_
_space_group_symop_operation_xyz
'x,y,z'
loop_
_atom_site_label
_atom_site_type_symbol
_atom_site_fract_x
_atom_site_fract_y
_atom_site_fract_z
Sr1 Sr 0.750 0.750 0.750
Sr2 Sr 0.000 0.000 0.000
W1 W 0.250 0.250 0.250
Ni1 Ni 0.500 0.500 0.500
```

Material: Te2HRh
Method: DFT, meta-GGA SCAN
State: PBEsol geometry

Its density of states at the Fermi level is 0.182 states/eV/atom. As for the crystal system: trigonal. Its raw total energy is -28.10 eV per atom. The space group is R-3m.

Structure (CIF):
```
data_Te2HRh
_cell_length_a 4.037
_cell_length_b 4.037
_cell_length_c 6.840
_cell_angle_alpha 72.84
_cell_angle_beta 72.84
_cell_angle_gamma 60.00
_space_group_name_H-M_alt 'P 1'
_space_group_IT_number 1
loop_
_space_group_symop_operation_xyz
'x,y,z'
loop_
_atom_site_label
_atom_site_type_symbol
_atom_site_fract_x
_atom_site_fract_y
_atom_site_fract_z
Te1 Te 0.102 0.102 0.694
H1 H 0.000 0.000 0.000
Rh1 Rh 0.500 0.500 0.500
Te2 Te 0.898 0.898 0.306
```

Material: InGeOsW2
Method: DFT, meta-GGA SCAN
State: PBEsol geometry

Its density of states at the Fermi level is 0.896 states/eV/atom. As for the crystal system: tetragonal. Its raw total energy is -51.04 eV per atom. The formation energy is 1.7080 eV/atom. The space group is P4/mmm.

Structure (CIF):
```
data_InGeOsW2
_cell_length_a 4.766
_cell_length_b 4.766
_cell_length_c 4.976
_cell_angle_alpha 90.00
_cell_angle_beta 90.00
_cell_angle_gamma 90.00
_space_group_name_H-M_alt 'P 1'
_space_group_IT_number 1
loop_
_space_group_symop_operation_xyz
'x,y,z'
loop_
_atom_site_label
_atom_site_type_symbol
_atom_site_fract_x
_atom_site_fract_y
_atom_site_fract_z
Os1 Os 0.000 0.000 0.000
In1 In 0.000 0.000 0.500
W1 W 0.000 0.500 0.000
Ge1 Ge 0.500 0.500 0.500
W2 W 0.500 0.000 0.000
```

Material: LiIrO3
Method: DFT, meta-GGA SCAN
State: PBEsol geometry

Its density of states at the Fermi level is 0.200 states/eV/atom. The formation energy from raw total energies comes out at -0.899 eV/atom. As for the crystal system: cubic. Its raw total energy is -19.34 eV per atom. The space group is Pm-3m.

Structure (CIF):
```
data_LiIrO3
_cell_length_a 3.838
_cell_length_b 3.838
_cell_length_c 3.838
_cell_angle_alpha 90.00
_cell_angle_beta 90.00
_cell_angle_gamma 90.00
_space_group_name_H-M_alt 'P 1'
_space_group_IT_number 1
loop_
_space_group_symop_operation_xyz
'x,y,z'
loop_
_atom_site_label
_atom_site_type_symbol
_atom_site_fract_x
_atom_site_fract_y
_atom_site_fract_z
O1 O 0.000 0.000 0.500
O2 O 0.000 0.500 0.000
Li1 Li 0.500 0.500 0.500
Ir1 Ir 0.000 0.000 0.000
O3 O 0.500 0.000 0.000
```